NbTl2HgO4 | PBE | relaxed

Cell: 6.0050 6.0050 6.0050 Å, 110.82 110.82 106.80°
Sites, in units of the cell vectors:
Nb: 0.0000 0.0000 0.0000
Tl: 0.5000 0.5000 0.0000
Tl: 0.7500 0.2500 0.5000
Hg: 0.2500 0.7500 0.5000
O: 0.0020 0.9903 0.6831
O: 0.0097 0.6929 0.0118
O: 0.3071 0.3189 0.3169
O: 0.6811 0.9980 0.9882

volume: 20.80 A^3/atom
formation energy (no corrections): -1301.4 meV per atom